1.
## UGa5Ru6 (GGA-PBE)

Data for a relaxed structure of UGa5Ru6.

The energy of formation comes out at -411 meV per atom. Its uncorrected energy is -7.25 eV per atom.

Cell: 4.3877 12.9711 6.2287 Å, 90.00 90.00 90.00°
Space group Cmmm (No. 65)
Asymmetric unit:
U  0.0000  0.0000  0.0000 [2 per cell]
Ga  0.0000  0.0000  0.5000 [2 per cell]
Ga  0.0000  0.3308  0.0000 [4 per cell]
Ga  0.0000  0.3329  0.5000 [4 per cell]
Ru  0.0000  0.1683  0.2528 [8 per cell]
Ru  0.0000  0.5000  0.2617 [4 per cell]

=====

2.
## Pm2YErAs4 (GGA-PBE)

Data for a relaxed structure of Pm2YErAs4.

The energy of formation comes out at -1529 meV per atom. Its uncorrected energy is -6.42 eV per atom.

Cell: 7.2204 4.1744 7.2266 Å, 90.00 109.48 90.00°
Space group P2/m (No. 10)
Asymmetric unit:
Pm  0.0000  0.0000  0.0000 [1 per cell]
Pm  0.0000  0.5000  0.5000 [1 per cell]
Y  0.5000  0.0000  0.5000 [1 per cell]
Er  0.5000  0.5000  0.0000 [1 per cell]
As  0.2577  0.5000  0.2512 [2 per cell]
As  0.2586  0.0000  0.7542 [2 per cell]

=====

3.
## YTiTe2I (GGA-PBE)

Data for a relaxed structure of YTiTe2I.

The distance to the lowest polymorph of the same formula is 0 meV per atom. The formation energy without anion corrections comes out at -0.331 eV/atom. Its uncorrected energy is -4.77 eV per atom.

Cell: 5.4365 5.4365 5.3582 Å, 90.00 90.00 90.00°
Space group P4/mmm (No. 123)
Asymmetric unit:
Y  0.0000  0.0000  0.0000 [1 per cell]
Ti  0.5000  0.5000  0.5000 [1 per cell]
Te  0.0000  0.5000  0.5000 [2 per cell]
I  0.5000  0.5000  0.0000 [1 per cell]

=====

4.
## LaTcH3 (GGA-PBE)

Data for a relaxed structure of LaTcH3.

The distance to the lowest polymorph of the same formula is 1319 meV per atom. Its uncorrected energy is -4.09 eV per atom.

Cell: 4.1479 4.1479 4.1479 Å, 90.00 90.00 90.00°
Space group Pm-3m (No. 221)
Asymmetric unit:
La  0.0000  0.0000  0.0000 [1 per cell]
Tc  0.5000  0.5000  0.5000 [1 per cell]
H  0.0000  0.0000  0.5000 [3 per cell]

=====

5.
## CrFeRh4 (GGA-PBE)

Data for a relaxed structure of CrFeRh4.

The distance to the lowest polymorph of the same formula is 225 meV per atom. The energy of formation comes out at 243 meV per atom. Its uncorrected energy is -7.67 eV per atom.

Cell: 4.0257 4.0257 5.6680 Å, 90.00 90.00 90.00°
Space group P4/mmm (No. 123)
Asymmetric unit:
Cr  0.0000  0.0000  0.0000 [1 per cell]
Fe  0.5000  0.5000  0.5000 [1 per cell]
Rh  0.0000  0.5000  0.2465 [4 per cell]

=====

6.
## CeTi4Cu3O12 (GGA-PBE)

Data for a relaxed structure of CeTi4Cu3O12.

The formation energy without anion corrections comes out at -2.386 eV/atom. Its uncorrected energy is -7.85 eV per atom.

Cell: 7.5055 7.5055 7.5055 Å, 90.00 90.00 90.00°
Space group Im-3 (No. 204)
Asymmetric unit:
Ce  0.0000  0.0000  0.0000 [2 per cell]
Ti  0.2500  0.2500  0.2500 [8 per cell]
Cu  0.0000  0.0000  0.5000 [6 per cell]
O  0.0000  0.2946  0.1774 [24 per cell]

=====

7.
## Tb12Th5Sc2 (GGA-PBE)

Data for a relaxed structure of Tb12Th5Sc2.

The energy of formation comes out at 201 meV per atom. Its uncorrected energy is -5.34 eV per atom.

Cell: 18.9196 7.1899 9.8594 Å, 90.00 115.65 90.00°
Space group C2/m (No. 12)
Asymmetric unit:
Tb  0.0053  0.0000  0.3202 [4 per cell]
Tb  0.0130  0.5000  0.2085 [4 per cell]
Tb  0.1586  0.2539  0.8541 [8 per cell]
Tb  0.1656  0.2549  0.5043 [8 per cell]
Th  0.0000  0.5000  0.5000 [2 per cell]
Th  0.1749  0.0000  0.1980 [4 per cell]
Th  0.1795  0.5000  0.1773 [4 per cell]
Sc  0.0000  0.1963  0.0000 [4 per cell]

=====

8.
## TlInC2 (GGA-PBE)

Data for a relaxed structure of TlInC2.

The distance to the lowest polymorph of the same formula is 0 meV per atom. The energy of formation comes out at 1700 meV per atom. Its uncorrected energy is -4.19 eV per atom.

Cell: 5.2441 5.2441 10.5377 Å, 90.00 90.00 90.00°
Space group I-42d (No. 122)
Asymmetric unit:
Tl  0.0000  0.0000  0.0000 [4 per cell]
In  0.0000  0.0000  0.5000 [4 per cell]
C  0.2389  0.2500  0.6250 [8 per cell]

=====

9.
## LaTeOs2 (GGA-PBE)

Data for a relaxed structure of LaTeOs2.

The formation energy without anion corrections comes out at 0.648 eV/atom. Its uncorrected energy is -6.98 eV per atom.

Cell: 3.0578 3.0578 29.8498 Å, 90.00 90.00 120.00°
Space group R3m (No. 160, hexagonal axes)
Asymmetric unit:
La  0.0000  0.0000  0.0000 [3 per cell]
Te  0.0000  0.0000  0.2313 [3 per cell]
Os  0.0000  0.0000  0.4896 [3 per cell]
Os  0.0000  0.0000  0.7572 [3 per cell]

=====

10.
## ZnTeMo2 (GGA-PBE)

Data for a relaxed structure of ZnTeMo2.

The distance to the lowest polymorph of the same formula is 202 meV per atom. The formation energy without anion corrections comes out at 0.406 eV/atom. Its uncorrected energy is -6.11 eV per atom.

Cell: 3.3116 4.9006 9.4109 Å, 90.00 90.00 90.00°
Space group Cmm2 (No. 35)
Asymmetric unit:
Zn  0.0000  0.0000  0.0000 [2 per cell]
Te  0.0000  0.5000  0.3088 [2 per cell]
Mo  0.0000  0.0000  0.5678 [2 per cell]
Mo  0.0000  0.5000  0.7750 [2 per cell]

=====

11.
## KTm2Cu2Se4 (GGA-PBE)

Data for a relaxed structure of KTm2Cu2Se4.

The formation energy without anion corrections comes out at -1.020 eV/atom. Its uncorrected energy is -4.59 eV per atom.

Cell: 15.1824 3.7772 7.8423 Å, 90.00 117.39 90.00°
Space group C2/m (No. 12)
Asymmetric unit:
K  0.0000  0.0000  0.0000 [2 per cell]
Tm  0.1250  0.0000  0.5615 [4 per cell]
Cu  0.2015  0.5000  0.0360 [4 per cell]
Se  0.0385  0.5000  0.7258 [4 per cell]
Se  0.2199  0.0000  0.2789 [4 per cell]

=====

12.
## Li2Pd2Au3 (GGA-PBE)

Data for a relaxed structure of Li2Pd2Au3.

The distance to the lowest polymorph of the same formula is 0 meV per atom. The energy of formation comes out at -358 meV per atom. Its uncorrected energy is -3.79 eV per atom.

Cell: 4.8124 4.9015 4.9857 Å, 100.13 98.56 98.78°
Space group P-1 (No. 2)
Asymmetric unit:
Li  0.0798  0.1557  0.2859 [2 per cell]
Pd  0.2182  0.4325  0.8572 [2 per cell]
Au  0.3394  0.7159  0.4257 [2 per cell]
Au  0.5000  0.0000  0.0000 [1 per cell]

=====

13.
## CuAsNF2 (GGA-PBE)

Data for a relaxed structure of CuAsNF2.

The distance to the lowest polymorph of the same formula is 0 meV per atom. The formation energy without anion corrections comes out at -0.144 eV/atom. Its uncorrected energy is -4.31 eV per atom.

Cell: 4.2226 4.2226 3.6994 Å, 90.00 90.00 90.00°
Space group P4/mmm (No. 123)
Asymmetric unit:
Cu  0.0000  0.0000  0.0000 [1 per cell]
As  0.5000  0.5000  0.5000 [1 per cell]
N  0.5000  0.5000  0.0000 [1 per cell]
F  0.0000  0.5000  0.5000 [2 per cell]

=====

14.
## LaHf2Ag2 (GGA-PBE)

Data for a relaxed structure of LaHf2Ag2.

The distance to the lowest polymorph of the same formula is 156 meV per atom. The energy of formation comes out at 291 meV per atom. Its uncorrected energy is -5.82 eV per atom.

Cell: 4.4195 4.4195 12.7921 Å, 90.00 90.00 90.00°
Space group I4/mmm (No. 139)
Asymmetric unit:
La  0.0000  0.0000  0.0000 [2 per cell]
Hf  0.0000  0.0000  0.3853 [4 per cell]
Ag  0.0000  0.5000  0.2500 [4 per cell]

=====

15.
## Ga3OsC (GGA-PBE)

Data for a relaxed structure of Ga3OsC.

The distance to the lowest polymorph of the same formula is 0 meV per atom. The energy of formation comes out at 1006 meV per atom. Its uncorrected energy is -4.90 eV per atom.

Cell: 4.1437 4.1437 4.1437 Å, 90.00 90.00 90.00°
Space group Pm-3m (No. 221)
Asymmetric unit:
Ga  0.0000  0.0000  0.5000 [3 per cell]
Os  0.5000  0.5000  0.5000 [1 per cell]
C  0.0000  0.0000  0.0000 [1 per cell]

=====

16.
## CaAl3Fe (GGA-PBE)

Data for a relaxed structure of CaAl3Fe.

The distance to the lowest polymorph of the same formula is 2287 meV per atom. The energy of formation comes out at 2038 meV per atom. Its uncorrected energy is -2.30 eV per atom.

Cell: 5.3418 5.3418 5.3418 Å, 90.00 90.00 90.00°
Space group Pm-3m (No. 221)
Asymmetric unit:
Ca  0.0000  0.0000  0.0000 [1 per cell]
Al  0.0000  0.0000  0.5000 [3 per cell]
Fe  0.5000  0.5000  0.5000 [1 per cell]

=====

17.
## P3Pb5O13 (GGA-PBE)

Data for a relaxed structure of P3Pb5O13.

The distance to the lowest polymorph of the same formula is 0 meV per atom. The formation energy without anion corrections comes out at -1.792 eV/atom. Its uncorrected energy is -6.52 eV per atom.

Cell: 9.9050 7.4714 9.9534 Å, 90.00 119.61 90.00°
Space group P2_1 (No. 4)
Asymmetric unit:
P  0.0317  0.9999  0.4020 [2 per cell]
P  0.3721  0.9999  0.9754 [2 per cell]
P  0.4034  0.5000  0.3714 [2 per cell]
Pb  0.0015  0.5005  0.2295 [2 per cell]
Pb  0.2285  0.0006  0.2339 [2 per cell]
Pb  0.2488  0.5007  0.0084 [2 per cell]
Pb  0.3291  0.2525  0.6605 [2 per cell]
Pb  0.3292  0.7474  0.6605 [2 per cell]
O  0.0172  0.5012  0.9913 [2 per cell]
O  0.0905  0.8315  0.3519 [2 per cell]
O  0.0907  0.1685  0.3523 [2 per cell]
O  0.1110  0.9997  0.5822 [2 per cell]
O  0.1481  0.5000  0.6744 [2 per cell]
O  0.2624  0.1671  0.9239 [2 per cell]
O  0.2623  0.8328  0.9241 [2 per cell]
O  0.3314  0.5000  0.4789 [2 per cell]
O  0.3505  0.3325  0.2628 [2 per cell]
O  0.3508  0.6677  0.2630 [2 per cell]
O  0.4151  0.9998  0.5323 [2 per cell]
O  0.4621  0.9996  0.8817 [2 per cell]
O  0.4886  0.0000  0.1504 [2 per cell]

=====

18.
## Co2TcAs (GGA-PBE)

Data for a relaxed structure of Co2TcAs.

The energy of formation comes out at 147 meV per atom. Its uncorrected energy is -7.16 eV per atom.

Cell: 5.0658 7.3433 2.7144 Å, 90.00 90.00 90.00°
Space group Cmmm (No. 65)
Asymmetric unit:
Co  0.2500  0.2500  0.0000 [4 per cell]
Tc  0.0000  0.0000  0.5000 [2 per cell]
As  0.0000  0.5000  0.5000 [2 per cell]

=====

19.
## K8Ag2Au (GGA-PBE)

Data for a relaxed structure of K8Ag2Au.

The energy of formation comes out at -25 meV per atom. Its uncorrected energy is -1.64 eV per atom.

Cell: 21.6070 5.8911 8.2180 Å, 90.00 106.27 90.00°
Space group C2/m (No. 12)
Asymmetric unit:
K  0.0304  0.0000  0.2990 [4 per cell]
K  0.0932  0.5000  0.9316 [4 per cell]
K  0.1598  0.5000  0.4624 [4 per cell]
K  0.2121  0.0000  0.8113 [4 per cell]
Ag  0.1861  0.0000  0.2191 [4 per cell]
Au  0.0000  0.5000  0.5000 [2 per cell]

=====

20.
## PaAg3Te4 (GGA-PBE)

Data for a relaxed structure of PaAg3Te4.

The formation energy without anion corrections comes out at -0.269 eV/atom. Its uncorrected energy is -4.10 eV per atom.

Cell: 9.7331 8.3931 6.4771 Å, 90.00 90.00 90.00°
Space group Pmn2_1 (No. 31)
Asymmetric unit:
Pa  0.0000  0.1670  0.0000 [2 per cell]
Ag  0.0000  0.8465  0.3487 [2 per cell]
Ag  0.2399  0.3251  0.3480 [4 per cell]
Te  0.0000  0.1667  0.4729 [2 per cell]
Te  0.0000  0.8248  0.9172 [2 per cell]
Te  0.2445  0.6629  0.4167 [4 per cell]